Density functional theory data (GGA-PBE) for an optimized crystal structure of CoNiBiMo.

Geometry as POSCAR:
```
CoNiBiMo
1.0
6.2919 0.0000 0.0000
0.0000 6.2919 0.0000
0.0000 0.0000 6.2919
Co Ni Bi Mo
4 4 4 4
direct
0.0000 0.0000 0.0000 Co
0.0000 0.5000 0.5000 Co
0.5000 0.0000 0.5000 Co
0.5000 0.5000 0.0000 Co
0.2500 0.2500 0.7500 Ni
0.2500 0.7500 0.2500 Ni
0.7500 0.2500 0.2500 Ni
0.7500 0.7500 0.7500 Ni
0.0000 0.0000 0.5000 Bi
0.0000 0.5000 0.0000 Bi
0.5000 0.0000 0.0000 Bi
0.5000 0.5000 0.5000 Bi
0.2500 0.2500 0.2500 Mo
0.2500 0.7500 0.7500 Mo
0.7500 0.2500 0.7500 Mo
0.7500 0.7500 0.2500 Mo
```

Calculated values
The distance to the lowest polymorph of the same formula is 37 meV/atom. Its space-group type is F-43m, No. 216. The calculation puts the total energy at -0.2323 hartree per atom.